[1]
# CaLaZn, relaxed, DFT PBE
data_CaLaZn
_symmetry_space_group_name_H-M 'F -4 3 m'
_symmetry_Int_Tables_number 216
_symmetry_space_group_name_Hall 'F -4 2 3'
_cell_length_a 7.2184
_cell_length_b 7.2184
_cell_length_c 7.2184
_cell_angle_alpha 90.00
_cell_angle_beta 90.00
_cell_angle_gamma 90.00
loop_
_atom_site_label
_atom_site_type_symbol
_atom_site_fract_x
_atom_site_fract_y
_atom_site_fract_z
_atom_site_occupancy
Ca1 Ca 0.0000 0.0000 0.0000 1
La1 La 0.2500 0.2500 0.2500 1
Zn1 Zn 0.2500 0.2500 0.7500 1
# Fermi-level density of states = 1.04 states/eV/atom
# DFT formation energy = 0.433 eV/atom
# Relative energy among the computed polymorphs = 609.0 meV per atom
# Energy = -27.6 eV/cell

[2]
# Gd2HIr, relaxed, DFT PBE
data_Gd2HIr
_symmetry_space_group_name_H-M 'P 4/m m m'
_symmetry_Int_Tables_number 123
_symmetry_space_group_name_Hall '-P 4 2'
_cell_length_a 3.2721
_cell_length_b 3.2721
_cell_length_c 7.1347
_cell_angle_alpha 90.00
_cell_angle_beta 90.00
_cell_angle_gamma 90.00
loop_
_atom_site_label
_atom_site_type_symbol
_atom_site_fract_x
_atom_site_fract_y
_atom_site_fract_z
_atom_site_occupancy
Gd1 Gd 0.0000 0.0000 0.2474 1
H1 H 0.5000 0.5000 0.0000 1
Ir1 Ir 0.5000 0.5000 0.5000 1
# Fermi-level density of states = 0.67 states/eV/atom
# Relative energy among the computed polymorphs = 184.9 meV per atom
# Energy = -41.8 eV/cell

[3]
# ReRh3I, relaxed, DFT PBE
data_ReRh3I
_symmetry_space_group_name_H-M 'P m -3 m'
_symmetry_Int_Tables_number 221
_symmetry_space_group_name_Hall '-P 4 2 3'
_cell_length_a 4.7861
_cell_length_b 4.7861
_cell_length_c 4.7861
_cell_angle_alpha 90.00
_cell_angle_beta 90.00
_cell_angle_gamma 90.00
loop_
_atom_site_label
_atom_site_type_symbol
_atom_site_fract_x
_atom_site_fract_y
_atom_site_fract_z
_atom_site_occupancy
Re1 Re 0.0000 0.0000 0.0000 1
Rh1 Rh 0.0000 0.5000 0.5000 1
I1 I 0.5000 0.5000 0.5000 1
# Fermi-level density of states = 1.57 states/eV/atom
# Relative energy among the computed polymorphs = 698.8 meV per atom
# Energy = -26.6 eV/cell
# Raw formation energy = 1889.3 meV per atom

[4]
# Re5Si, relaxed, DFT PBE
data_Re5Si
_symmetry_space_group_name_H-M 'A m m 2'
_symmetry_Int_Tables_number 38
_cell_length_a 4.4230
_cell_length_b 2.8470
_cell_length_c 13.9428
_cell_angle_alpha 90.00
_cell_angle_beta 90.00
_cell_angle_gamma 90.00
loop_
_symmetry_equiv_pos_as_xyz
'x,y,z'
'-x,-y,z'
'-x,y,z'
'x,-y,z'
'x,y+1/2,z+1/2'
'-x,-y+1/2,z+1/2'
'-x,y+1/2,z+1/2'
'x,-y+1/2,z+1/2'
loop_
_atom_site_label
_atom_site_type_symbol
_atom_site_fract_x
_atom_site_fract_y
_atom_site_fract_z
_atom_site_occupancy
Re1 Re 0.0000 0.0000 0.0000 1
Re2 Re 0.0000 0.0000 0.3289 1
Re3 Re 0.0000 0.0000 0.6675 1
Re4 Re 0.5000 0.0000 0.5582 1
Re5 Re 0.5000 0.0000 0.8882 1
Si1 Si 0.5000 0.0000 0.2148 1
# Fermi-level density of states = 0.96 states/eV/atom
# Relative energy among the computed polymorphs = 17.6 meV per atom
# Energy = -135.3 eV/cell
# Raw formation energy = 1.4 meV per atom

[5]
# Tl3Sn2Au4, relaxed, DFT PBE
data_Tl3Sn2Au4
_symmetry_space_group_name_H-M 'C 1 2/m 1'
_symmetry_Int_Tables_number 12
_cell_length_a 13.1031
_cell_length_b 3.8987
_cell_length_c 9.7153
_cell_angle_alpha 90.00
_cell_angle_beta 113.73
_cell_angle_gamma 90.00
loop_
_symmetry_equiv_pos_as_xyz
'x,y,z'
'-x,-y,-z'
'-x,y,-z'
'x,-y,z'
'x+1/2,y+1/2,z'
'-x+1/2,-y+1/2,-z'
'-x+1/2,y+1/2,-z'
'x+1/2,-y+1/2,z'
loop_
_atom_site_label
_atom_site_type_symbol
_atom_site_fract_x
_atom_site_fract_y
_atom_site_fract_z
_atom_site_occupancy
Tl1 Tl 0.0000 0.0000 0.0000 1
Tl2 Tl 0.1051 0.5000 0.7193 1
Sn1 Sn 0.1818 0.5000 0.3308 1
Au1 Au 0.0918 0.0000 0.4547 1
Au2 Au 0.1946 0.5000 0.0548 1
# Fermi-level density of states = 0.35 states/eV/atom
# DFT formation energy = -0.071 eV/atom
# Energy = -57.7 eV/cell

[6]
# AcHo2Zn, relaxed, DFT PBE
data_AcHo2Zn
_symmetry_space_group_name_H-M 'F m -3 m'
_symmetry_Int_Tables_number 225
_symmetry_space_group_name_Hall '-F 4 2 3'
_cell_length_a 7.7844
_cell_length_b 7.7844
_cell_length_c 7.7844
_cell_angle_alpha 90.00
_cell_angle_beta 90.00
_cell_angle_gamma 90.00
loop_
_atom_site_label
_atom_site_type_symbol
_atom_site_fract_x
_atom_site_fract_y
_atom_site_fract_z
_atom_site_occupancy
Ac1 Ac 0.0000 0.0000 0.0000 1
Ho1 Ho 0.2500 0.2500 0.2500 1
Zn1 Zn 0.0000 0.0000 0.5000 1
# Fermi-level density of states = 1.64 states/eV/atom
# DFT formation energy = 0.201 eV/atom
# Relative energy among the computed polymorphs = 324.7 meV per atom
# Energy = -54.9 eV/cell

[7]
# SrZr3Bi, relaxed, DFT PBE
data_SrZr3Bi
_symmetry_space_group_name_H-M 'P m -3 m'
_symmetry_Int_Tables_number 221
_symmetry_space_group_name_Hall '-P 4 2 3'
_cell_length_a 5.5507
_cell_length_b 5.5507
_cell_length_c 5.5507
_cell_angle_alpha 90.00
_cell_angle_beta 90.00
_cell_angle_gamma 90.00
loop_
_atom_site_label
_atom_site_type_symbol
_atom_site_fract_x
_atom_site_fract_y
_atom_site_fract_z
_atom_site_occupancy
Sr1 Sr 0.0000 0.0000 0.0000 1
Zr1 Zr 0.0000 0.5000 0.5000 1
Bi1 Bi 0.5000 0.5000 0.5000 1
# Fermi-level density of states = 1.33 states/eV/atom
# DFT formation energy = 0.750 eV/atom
# Relative energy among the computed polymorphs = 0.0 meV per atom
# Energy = -27.5 eV/cell

[8]
# Ho6TlGe2Se3, relaxed, DFT PBE
data_Ho6TlGe2Se3
_symmetry_space_group_name_H-M 'C 1 2/m 1'
_symmetry_Int_Tables_number 12
_cell_length_a 18.2701
_cell_length_b 4.1223
_cell_length_c 8.3861
_cell_angle_alpha 90.00
_cell_angle_beta 106.28
_cell_angle_gamma 90.00
loop_
_symmetry_equiv_pos_as_xyz
'x,y,z'
'-x,-y,-z'
'-x,y,-z'
'x,-y,z'
'x+1/2,y+1/2,z'
'-x+1/2,-y+1/2,-z'
'-x+1/2,y+1/2,-z'
'x+1/2,-y+1/2,z'
loop_
_atom_site_label
_atom_site_type_symbol
_atom_site_fract_x
_atom_site_fract_y
_atom_site_fract_z
_atom_site_occupancy
Ho1 Ho 0.0000 0.0000 0.2352 1
Ho2 Ho 0.1714 0.5000 0.0698 1
Ho3 Ho 0.1719 0.5000 0.5908 1
Tl1 Tl 0.0000 0.5000 0.5000 1
Ge1 Ge 0.1639 0.0000 0.8255 1
Se1 Se 0.0000 0.5000 0.0000 1
Se2 Se 0.1668 0.0000 0.3276 1
# Fermi-level density of states = 0.39 states/eV/atom
# Energy = -128.5 eV/cell
# Raw formation energy = -1225.6 meV per atom